# 1
Here is a relaxed HfTi2AuC crystal from Alexandria via LeMat-Bulk. Energies are from PBE.

a b c (Å): 4.2064 4.2064 4.4428
angles (deg): 90.00 90.00 90.00
Closest atoms and distances in Å follow each position.
Space group P4/mmm (No. 123)
Unique sites:
Hf  0.0000  0.0000  0.0000 [1 per cell]  2 C 2.22
Ti  0.0000  0.5000  0.5000 [2 per cell]  2 C 2.10
Au  0.5000  0.5000  0.0000 [1 per cell]  4 Hf 2.97, 8 Ti 3.06
C  0.0000  0.0000  0.5000 [1 per cell]  4 Ti 2.10, 2 Hf 2.22

# 2
Here is a relaxed PrTa2Ru2 crystal from Alexandria via LeMat-Bulk. Energies are from PBE.

a b c (Å): 4.3858 4.3858 10.8581
angles (deg): 90.00 90.00 90.00
Closest atoms and distances in Å follow each position.
Space group I4/mmm (No. 139)
Unique sites:
Pr  0.0000  0.0000  0.0000 [2 per cell]  8 Ru 3.37, 8 Ta 3.49
Ta  0.0000  0.5000  0.2500 [4 per cell]  4 Ru 2.59
Ru  0.0000  0.0000  0.3776 [4 per cell]  4 Ta 2.59, 1 Ru 2.66

Number 1: total moment 0.00 μB/f.u., DFT formation energy -618 meV per atom, theoretical density 10.21 Mg/m³. Number 2: total moment 0.00 μB/f.u., DFT formation energy -267 meV per atom, theoretical density 11.21 Mg/m³.